(1)
Entry from Alexandria via LeMat-Bulk: an optimized crystal structure of CsRbBe3 (GGA-PBE).

Structure (POSCAR):
```
CsRbBe3
1.0
-0.776 5.226 3.407
-5.231 -2.416 2.514
3.399 -2.525 4.647
Cs Be Rb
1 3 1
Direct
0.000 0.000 0.000
0.000 0.500 0.000
0.000 0.000 0.500
0.500 0.000 0.000
0.500 0.500 0.500
```

Summary:
Fermi-level density of states (states/eV/cell): 3.9
Energy relative to the elements (eV/atom): 1.864
Calculated total energy (eV/atom): -0.74
ΔE to the lowest computed polymorph (meV per atom): 51.1
Total magnetic moment (μB per atom): 0.000


(2)
Entry from Alexandria via LeMat-Bulk: an optimized crystal structure of Ac2TlI (GGA-PBE).

Structure (POSCAR):
```
Ac2TlI
1.0
-5.060 -2.672 1.355
-3.320 -2.339 -4.252
-0.464 -5.841 -0.491
I Ac Tl
1 2 1
Direct
0.000 0.000 0.000
0.250 0.250 0.250
0.750 0.750 0.750
0.500 0.500 0.500
```

Summary:
Fermi-level density of states (states/eV/cell): 2.7
ΔE_f (raw) (eV per formula unit): -2.353
Calculated total energy (eV/atom): -3.62
ΔE to the lowest computed polymorph (meV per atom): 59.5
Total magnetic moment (μB per atom): 0.000


(3)
Entry from Alexandria via LeMat-Bulk: an optimized crystal structure of Hg2SbSe (GGA-PBE).

Structure (POSCAR):
```
Hg2SbSe
1.0
-1.283 7.170 -2.241
-4.474 1.487 7.318
9.298 1.887 0.716
Hg Sb Se
8 4 4
Direct
0.130 0.494 0.005
0.630 0.506 0.995
0.744 0.006 0.495
0.244 0.994 0.505
0.753 0.051 0.015
0.253 0.949 0.985
0.123 0.449 0.486
0.623 0.551 0.514
0.989 0.918 0.775
0.489 0.082 0.225
0.386 0.417 0.275
0.886 0.583 0.725
0.003 0.050 0.350
0.503 0.950 0.650
0.372 0.550 0.850
0.872 0.450 0.150
```

Summary:
ΔE_f (raw) (eV per formula unit): -0.160
Calculated total energy (eV/atom): -2.09
Total magnetic moment (μB per atom): 0.000


(4)
Entry from Alexandria via LeMat-Bulk: an optimized crystal structure of ZrSb4O12 (GGA-PBE).

Structure (POSCAR):
```
ZrSb4O12
1.0
-3.009 -2.044 -5.582
4.751 4.362 -1.670
2.857 -5.048 3.279
Zr Sb O
1 4 12
Direct
0.000 0.500 0.500
0.500 0.000 0.000
0.000 0.500 0.000
0.000 0.000 0.500
0.500 0.500 0.500
0.179 0.734 0.913
0.056 0.734 0.321
0.413 0.734 0.679
0.305 0.111 0.805
0.695 0.500 0.805
0.179 0.266 0.445
0.821 0.734 0.555
0.695 0.889 0.195
0.305 0.500 0.195
0.587 0.266 0.321
0.944 0.266 0.679
0.821 0.266 0.087
```

Summary:
ΔE_f (raw) (eV per formula unit): -26.572
Calculated total energy (eV/atom): -6.54
Total magnetic moment (μB per atom): 0.000


(5)
Entry from Alexandria via LeMat-Bulk: an optimized crystal structure of Hf2MgH4 (GGA-PBE).

Structure (POSCAR):
```
Hf2MgH4
1.0
-3.927 0.043 4.165
4.159 -0.224 3.927
0.050 4.984 -3.942
Hf Mg H
4 2 8
Direct
0.625 0.375 0.750
0.625 0.875 0.250
0.625 0.375 0.250
0.125 0.375 0.750
0.250 0.750 0.500
0.000 0.000 0.000
0.916 0.167 0.334
0.334 0.583 0.166
0.833 0.582 0.666
0.833 0.084 0.666
0.418 0.167 0.334
0.417 0.168 0.834
0.417 0.666 0.834
0.832 0.583 0.166
```

Summary:
Fermi-level density of states (states/eV/cell): 4.3
Calculated total energy (eV/atom): -5.17
ΔE to the lowest computed polymorph (meV per atom): 0.0
Total magnetic moment (μB per atom): 0.000


(6)
Entry from Alexandria via LeMat-Bulk: an optimized crystal structure of Y2MgS4 (GGA-PBE).

Structure (POSCAR):
```
Y2MgS4
1.0
7.910 0.000 0.000
3.955 6.850 0.000
3.955 2.283 6.458
Y Mg S
4 2 8
Direct
0.625 0.125 0.625
0.625 0.625 0.125
0.125 0.625 0.625
0.625 0.625 0.625
0.000 0.000 0.000
0.250 0.250 0.250
0.380 0.380 0.380
0.861 0.380 0.380
0.380 0.861 0.380
0.380 0.380 0.861
0.870 0.870 0.389
0.870 0.389 0.870
0.389 0.870 0.870
0.870 0.870 0.870
```

Summary:
Fermi-level density of states (states/eV/cell): 0.0
ΔE_f (raw) (eV per formula unit): -13.247
Calculated total energy (eV/atom): -6.33
ΔE to the lowest computed polymorph (meV per atom): 0.0
Total magnetic moment (μB per atom): 0.000


(7)
Entry from Alexandria via LeMat-Bulk: an optimized crystal structure of SrCaY2Rh (GGA-PBE).

Structure (POSCAR):
```
SrCaY2Rh
1.0
-5.399 0.676 -0.341
-0.753 -4.540 2.923
0.086 3.216 5.017
Y Sr Ca Rh
2 1 1 1
Direct
0.000 0.500 0.000
0.500 0.000 0.000
0.000 0.000 0.500
0.500 0.500 0.500
0.000 0.000 0.000
```

Summary:
Fermi-level density of states (states/eV/cell): 2.8
Energy relative to the elements (eV/atom): -0.228
Calculated total energy (eV/atom): -5.02
ΔE to the lowest computed polymorph (meV per atom): 61.5
Total magnetic moment (μB per atom): 0.000


(8)
Entry from Alexandria via LeMat-Bulk: an optimized crystal structure of AcDyHgO4 (GGA-PBE).

Structure (POSCAR):
```
AcDyHgO4
1.0
-2.236 -1.146 6.476
-0.108 -6.729 2.497
4.785 -1.675 5.082
Ac Dy Hg O
2 2 2 8
Direct
0.000 0.000 0.000
0.000 0.500 0.500
0.500 0.000 0.500
0.000 0.000 0.500
0.614 0.636 0.136
0.386 0.364 0.864
0.756 0.790 0.699
0.244 0.801 0.710
0.756 0.199 0.290
0.244 0.210 0.301
0.214 0.771 0.271
0.744 0.771 0.271
0.256 0.229 0.729
0.786 0.229 0.729
```

Summary:
ΔE_f (raw) (eV per formula unit): -16.699
Calculated total energy (eV/atom): -6.51
Total magnetic moment (μB per atom): 0.000


(9)
Entry from Alexandria via LeMat-Bulk: an optimized crystal structure of MgCrFe4 (GGA-PBE).

Structure (POSCAR):
```
MgCrFe4
1.0
-1.188 1.760 4.278
-3.736 2.946 0.416
-3.985 -1.489 2.171
Mg Cr Fe
1 1 4
Direct
0.750 0.750 0.750
0.000 0.000 0.000
0.874 0.375 0.375
0.375 0.375 0.874
0.375 0.874 0.375
0.375 0.375 0.375
```

Summary:
Fermi-level density of states (states/eV/cell): 7.7
Energy relative to the elements (eV/atom): 0.115
Calculated total energy (eV/atom): -7.40
Total magnetic moment (μB per atom): 0.797


(10)
Entry from Alexandria via LeMat-Bulk: an optimized crystal structure of YAgPd6 (GGA-PBE).

Structure (POSCAR):
```
YAgPd6
1.0
5.391 0.509 0.576
-0.082 5.414 0.576
-0.082 -0.092 5.444
Y Ag Pd
1 1 6
Direct
0.000 0.000 0.000
0.500 0.500 0.500
0.161 0.531 0.161
0.161 0.161 0.531
0.839 0.469 0.839
0.469 0.839 0.839
0.839 0.839 0.469
0.531 0.161 0.161
```

Summary:
Fermi-level density of states (states/eV/cell): 6.3
Energy relative to the elements (eV/atom): 0.059
Calculated total energy (eV/atom): -5.00
Total magnetic moment (μB per atom): 0.000


(11)
Entry from Alexandria via LeMat-Bulk: an optimized crystal structure of Li6Cd10Ag (GGA-PBE).

Structure (POSCAR):
```
Li6Cd10Ag
1.0
-4.615 3.431 -1.176
-4.771 -4.991 4.162
3.626 6.157 3.733
Li Cd Ag
6 10 1
Direct
0.679 0.359 0.359
0.679 0.000 0.641
0.679 0.641 0.000
0.321 0.641 0.641
0.321 0.000 0.359
0.321 0.359 0.000
0.820 0.717 0.717
0.820 0.000 0.283
0.820 0.283 0.000
0.180 0.283 0.283
0.180 0.000 0.717
0.180 0.717 0.000
0.500 0.333 0.667
0.500 0.667 0.333
0.000 0.667 0.333
0.000 0.333 0.667
0.500 0.000 0.000
```

Summary:
Fermi-level density of states (states/eV/cell): 5.6
Energy relative to the elements (eV/atom): -0.175
Calculated total energy (eV/atom): -1.56
Total magnetic moment (μB per atom): 0.000


Which value of calculated total energy does entry 7 give?
-5.02 eV/atom


What is the total magnetic moment in the eighth record?
0.000 μB per atom